Entry 1:
Compound: TbPm10Sm4
Source: the Alexandria database
Functional: PBE
Structure: relaxed

Geometry as POSCAR:
```
TbPm10Sm4
1.0
7.129 0.000 3.219
3.565 8.760 1.610
-0.040 0.000 9.593
Sm Pm Tb
4 10 1
Cartesian
7.805 5.258 11.227
2.849 3.502 3.195
5.688 7.020 6.411
4.965 1.740 8.011
0.700 0.881 3.188
9.954 7.878 11.234
4.979 6.142 3.215
7.109 4.380 8.016
6.378 7.878 9.619
2.099 2.617 9.592
5.675 2.617 11.207
3.544 4.380 6.406
4.275 0.881 4.802
8.554 6.142 4.830
0.000 0.000 0.000
```

As for the energy: -60.3 eV/cell. The formation energy is 16.44 kcal/mol of atoms. For the density of states at the Fermi level, the calculation gives 21.55 states/eV per cell. The density comes out at 6115 kg/m3.

***

Entry 2:
Compound: Ac2TeP
Source: the Alexandria database
Functional: PBE
Structure: relaxed

Geometry as POSCAR:
```
Ac2TeP
1.0
-1.411 -2.942 -3.099
4.300 -0.016 1.324
-3.536 -10.272 11.363
Te Ac P
2 4 2
Cartesian
-0.391 -4.535 1.216
-0.255 -8.695 8.372
2.020 -2.086 1.061
-2.666 -11.144 8.528
-1.652 -8.197 5.268
1.005 -5.033 4.321
0.000 0.000 0.000
-1.768 -5.136 5.682
```

The uncorrected formation energy comes out at -1549 meV/atom. As for the energy above the most stable polymorph in this dataset: 18.7 meV per atom. As for the energy: -45.9 eV/cell. For the density of states at the Fermi level, the calculation gives 3.63 states/eV per cell. The density comes out at 7380 kg/m3.

***

Entry 3:
Compound: DyTm2Rh
Source: the Alexandria database
Functional: PBE
Structure: relaxed

Geometry as POSCAR:
```
DyTm2Rh
1.0
-0.882 -0.375 3.665
-1.153 -3.352 1.337
7.819 -3.439 3.488
Dy Tm Rh
1 2 1
Cartesian
2.854 -3.573 4.237
0.858 -1.639 1.996
6.306 -3.048 3.164
-1.342 -2.488 3.338
```

As for the energy above the most stable polymorph in this dataset: 196.5 meV per atom. As for the energy: -22.3 eV/cell. The formation energy is -8.32 kcal/mol of atoms. For the density of states at the Fermi level, the calculation gives 4.91 states/eV per cell. The density comes out at 8993 kg/m3.